Computed, not measured: a relaxed MgNb3Ga crystal at the GGA-PBE level of DFT.

a b c (Å): 4.803 4.803 4.803
angles (deg): 90.00 90.00 90.00
Atoms (fractional coordinates):
Ga  0.000  0.000  0.000
Mg  0.500  0.500  0.500
Nb  0.000  0.000  0.500
Nb  0.000  0.500  0.000
Nb  0.500  0.000  0.000

Results
DOS at the Fermi energy   0.11 states/eV/atom
Formation energy   0.9186 eV/atom
Space-group type   No. 221

***

Computed, not measured: a relaxed Mg2NbGa2 crystal at the GGA-PBE level of DFT.

a b c (Å): 7.529 7.529 3.186
angles (deg): 90.00 90.00 90.00
Atoms (fractional coordinates):
Ga  0.363  0.863  0.000
Ga  0.637  0.137  0.000
Ga  0.863  0.637  0.000
Ga  0.137  0.363  0.000
Nb  0.000  0.000  0.000
Nb  0.500  0.500  0.000
Mg  0.335  0.165  0.500
Mg  0.165  0.665  0.500
Mg  0.665  0.835  0.500
Mg  0.835  0.335  0.500

Results
DOS at the Fermi energy   0.45 states/eV/atom
Formation energy   -0.0087 eV/atom
Space-group type   No. 127

***

Computed, not measured: a relaxed MgNbGa2 crystal at the GGA-PBE level of DFT.

a b c (Å): 3.491 3.491 5.827
angles (deg): 90.00 90.00 90.00
Atoms (fractional coordinates):
Ga  0.000  0.000  0.273
Ga  0.000  0.000  0.727
Mg  0.500  0.500  0.000
Nb  0.500  0.500  0.500

Results
DOS at the Fermi energy   0.83 states/eV/atom
Formation energy   -0.0959 eV/atom
Space-group type   No. 123

***

Computed, not measured: a relaxed Mg14NbGa crystal at the GGA-PBE level of DFT.

a b c (Å): 6.257 6.257 10.247
angles (deg): 90.00 90.00 121.01
Atoms (fractional coordinates):
Mg  0.672  0.328  0.746
Mg  0.669  0.839  0.259
Mg  0.161  0.331  0.259
Mg  0.832  0.668  0.000
Mg  0.833  0.167  0.000
Mg  0.669  0.839  0.741
Mg  0.333  0.667  0.000
Mg  0.169  0.831  0.748
Mg  0.169  0.831  0.252
Mg  0.672  0.328  0.254
Mg  0.335  0.168  0.500
Mg  0.161  0.331  0.741
Mg  0.832  0.665  0.500
Mg  0.332  0.168  0.000
Ga  0.332  0.668  0.500
Nb  0.831  0.169  0.500

Results
DOS at the Fermi energy   0.52 states/eV/atom
Formation energy   0.0366 eV/atom
Space-group type   No. 38

***

Computed, not measured: a relaxed MgNb3Ga crystal at the GGA-PBE level of DFT.

a b c (Å): 4.728 4.728 4.728
angles (deg): 90.00 90.00 90.00
Atoms (fractional coordinates):
Ga  0.500  0.500  0.500
Nb  0.000  0.000  0.500
Nb  0.500  0.000  0.000
Nb  0.000  0.500  0.000
Mg  0.000  0.000  0.000

Results
DOS at the Fermi energy   0.11 states/eV/atom
Formation energy   1.5346 eV/atom
Space-group type   No. 221

***

Computed, not measured: a relaxed Mg14NbGa crystal at the GGA-PBE level of DFT.

a b c (Å): 6.294 6.294 10.043
angles (deg): 90.00 90.00 120.00
Atoms (fractional coordinates):
Mg  0.004  0.502  0.000
Mg  0.680  0.840  0.752
Mg  0.160  0.320  0.248
Mg  0.498  0.996  0.000
Mg  0.160  0.840  0.752
Mg  0.160  0.840  0.248
Mg  0.999  0.499  0.500
Mg  0.680  0.840  0.248
Mg  0.667  0.333  0.246
Mg  0.667  0.333  0.754
Mg  0.501  0.001  0.500
Mg  0.501  0.499  0.500
Mg  0.498  0.502  0.000
Mg  0.160  0.320  0.752
Nb  0.000  0.000  0.000
Ga  0.000  0.000  0.500

Results
DOS at the Fermi energy   0.57 states/eV/atom
Formation energy   0.0433 eV/atom
Space-group type   No. 187

***

Computed, not measured: a relaxed MgNbGa2 crystal at the GGA-PBE level of DFT.

a b c (Å): 3.881 4.172 4.172
angles (deg): 90.00 90.00 90.00
Atoms (fractional coordinates):
Ga  0.000  0.500  0.000
Ga  0.000  0.000  0.500
Nb  0.500  0.000  0.000
Mg  0.500  0.500  0.500

Results
DOS at the Fermi energy   0.39 states/eV/atom
Formation energy   -0.1850 eV/atom
Space-group type   No. 123

***

Computed, not measured: a relaxed Mg2NbGa crystal at the GGA-PBE level of DFT.

a b c (Å): 2.991 2.991 10.350
angles (deg): 81.69 81.69 60.00
Atoms (fractional coordinates):
Ga  0.500  0.500  0.500
Nb  0.000  0.000  0.000
Mg  0.907  0.907  0.278
Mg  0.093  0.093  0.722

Results
DOS at the Fermi energy   0.68 states/eV/atom
Formation energy   0.3152 eV/atom
Space-group type   No. 166

***

Computed, not measured: a relaxed Mg2NbGaO6 crystal at the GGA-PBE level of DFT.

a b c (Å): 4.865 5.200 5.200
angles (deg): 90.00 90.00 90.00
Atoms (fractional coordinates):
O  0.216  0.500  0.500
O  0.740  0.751  0.751
O  0.740  0.249  0.249
O  0.740  0.751  0.249
O  0.209  0.000  0.000
O  0.740  0.249  0.751
Nb  0.591  0.500  0.500
Mg  0.946  0.500  0.000
Mg  0.946  0.000  0.500
Ga  0.578  0.000  0.000

Results
DOS at the Fermi energy   0.00 states/eV/atom
Space-group type   No. 99
E_tot   -67.9 eV per formula unit

***

Computed, not measured: a relaxed MgNbGaOs crystal at the GGA-PBE level of DFT.

a b c (Å): 4.468 4.468 4.468
angles (deg): 60.00 60.00 60.00
Atoms (fractional coordinates):
Mg  0.500  0.500  0.500
Os  0.000  0.000  0.000
Nb  0.250  0.250  0.250
Ga  0.750  0.750  0.750

Results
DOS at the Fermi energy   0.03 states/eV/atom
Formation energy   -0.2090 eV/atom
Space-group type   No. 216

***

Computed, not measured: a relaxed MgNbGaP2 crystal at the GGA-PBE level of DFT.

a b c (Å): 4.589 5.178 4.589
angles (deg): 90.00 90.00 90.00
Last column: magnetic moment on the atom in μB.
Atoms (fractional coordinates):
Mg  0.000  0.000  0.000  0.00
P  0.500  0.000  0.000  -0.05
P  0.000  0.000  0.500  -0.06
Nb  0.000  0.500  0.000  1.26
Ga  0.500  0.500  0.500  -0.01

Results
DOS at the Fermi energy   0.83 states/eV/atom
Formation energy   1.1479 eV/atom
Space-group type   No. 123

***

Computed, not measured: a relaxed MgNbGaRh crystal at the GGA-PBE level of DFT.

a b c (Å): 4.518 4.518 4.518
angles (deg): 60.00 60.00 60.00
Atoms (fractional coordinates):
Rh  0.000  0.000  0.000
Mg  0.750  0.750  0.750
Ga  0.500  0.500  0.500
Nb  0.250  0.250  0.250

Results
DOS at the Fermi energy   0.84 states/eV/atom
Formation energy   -0.3221 eV/atom
Space-group type   No. 216